[1]
{"formula": "ZrTePb", "functional": "PBE-GGA", "state": "optimized geometry", "dos_at_fermi_per_ev_atom": 0.496, "formation_energy_uncorrected_ev_per_atom": -0.2121, "lattice_angstrom": [[-1.591, -4.355, 1.807], [3.472, 0.096, -3.564], [2.714, 0.106, 2.646]], "species": ["Pb", "Te", "Zr"], "fractional_positions": [[0.000, 0.000, 0.000], [0.667, 0.333, 0.500], [0.333, 0.667, 0.500]]}


[2]
{"formula": "ZrTePb", "functional": "PBE-GGA", "state": "optimized geometry", "dos_at_fermi_per_ev_atom": 0.610, "formation_energy_uncorrected_ev_per_atom": -0.3447, "lattice_angstrom": [[3.692, 0.000, 0.000], [-1.846, 3.197, 0.000], [0.000, 0.000, 7.100]], "species": ["Pb", "Te", "Zr"], "fractional_positions": [[0.000, 0.000, 0.978], [0.667, 0.333, 0.377], [0.333, 0.667, 0.646]]}


[3]
{"formula": "ZrTePb2", "functional": "PBE-GGA", "state": "optimized geometry", "dos_at_fermi_per_ev_atom": 0.602, "formation_energy_uncorrected_ev_per_atom": -0.0383, "lattice_angstrom": [[4.216, 0.000, 0.000], [0.000, 4.358, 0.000], [0.000, 0.000, 6.057]], "species": ["Pb", "Pb", "Te", "Zr"], "fractional_positions": [[0.000, 0.000, 0.997], [0.000, 0.000, 0.503], [0.500, 0.500, 0.250], [0.500, 0.500, 0.750]]}


[4]
{"formula": "ZrTePb2", "functional": "PBE-GGA", "state": "optimized geometry", "dos_at_fermi_per_ev_atom": 0.802, "formation_energy_uncorrected_ev_per_atom": 0.0394, "lattice_angstrom": [[5.409, 0.000, 0.000], [0.000, 5.409, 0.000], [0.000, 0.000, 3.730]], "species": ["Pb", "Pb", "Te", "Zr"], "fractional_positions": [[0.000, 0.000, 0.000], [0.500, 0.500, 0.000], [0.500, 0.000, 0.500], [0.000, 0.500, 0.500]]}


[5]
{"formula": "ZrTePb2", "functional": "PBE-GGA", "state": "optimized geometry", "dos_at_fermi_per_ev_atom": 0.877, "formation_energy_uncorrected_ev_per_atom": -0.0897, "lattice_angstrom": [[6.540, 0.000, 0.004], [3.246, 5.678, -0.004], [-4.252, -3.944, 3.023]], "species": ["Pb", "Pb", "Te", "Zr"], "fractional_positions": [[0.018, 0.018, 0.000], [0.744, 0.244, 0.500], [0.469, 0.469, 0.000], [0.270, 0.770, 0.500]]}


[6]
{"formula": "ZrTePb2", "functional": "PBE-GGA", "state": "optimized geometry", "dos_at_fermi_per_ev_atom": 0.736, "formation_energy_uncorrected_ev_per_atom": 0.0309, "lattice_angstrom": [[-2.619, 5.286, 1.669], [-0.774, 0.868, 6.020], [4.613, -1.687, -3.670]], "species": ["Pb", "Pb", "Te", "Zr"], "fractional_positions": [[0.000, 0.000, 0.000], [0.250, 0.750, 0.500], [0.500, 0.500, 0.000], [0.750, 0.250, 0.500]]}


[7]
{"formula": "ZrTe4Pb", "functional": "PBE-GGA", "state": "optimized geometry", "dos_at_fermi_per_ev_atom": 0.938, "formation_energy_uncorrected_ev_per_atom": 0.4878, "lattice_angstrom": [[0.411, 0.307, 6.258], [-4.710, 2.468, 3.339], [-3.598, -3.708, 3.568]], "species": ["Zr", "Te", "Te", "Te", "Te", "Pb"], "fractional_positions": [[0.750, 0.750, 0.750], [0.872, 0.376, 0.376], [0.376, 0.376, 0.872], [0.376, 0.872, 0.376], [0.376, 0.376, 0.376], [0.000, 0.000, 0.000]]}


[8]
{"formula": "ZrTePb2", "functional": "PBE-GGA", "state": "optimized geometry", "dos_at_fermi_per_ev_atom": 0.771, "formation_energy_uncorrected_ev_per_atom": -0.1501, "lattice_angstrom": [[7.891, 0.036, -0.002], [7.134, 3.373, -0.002], [1.443, 0.327, 4.539]], "species": ["Pb", "Pb", "Te", "Zr"], "fractional_positions": [[0.943, 0.943, 0.057], [0.557, 0.557, 0.443], [0.750, 0.750, 0.750], [0.250, 0.250, 0.250]]}


[9]
{"formula": "ZrTePb2", "functional": "PBE-GGA", "state": "optimized geometry", "dos_at_fermi_per_ev_atom": 0.744, "formation_energy_uncorrected_ev_per_atom": -0.2822, "lattice_angstrom": [[3.610, 0.000, 0.000], [0.000, 3.610, 0.000], [0.000, 0.000, 8.602]], "species": ["Pb", "Pb", "Te", "Zr"], "fractional_positions": [[0.000, 0.000, 0.971], [0.500, 0.500, 0.247], [0.000, 0.000, 0.553], [0.500, 0.500, 0.728]]}


[10]
{"formula": "ZrTePb", "functional": "PBE-GGA", "state": "optimized geometry", "dos_at_fermi_per_ev_atom": 0.949, "formation_energy_uncorrected_ev_per_atom": 0.0326, "lattice_angstrom": [[-0.601, -1.177, -2.990], [-4.233, -1.616, 3.275], [-4.584, 7.716, -2.117]], "species": ["Zr", "Zr", "Te", "Te", "Pb", "Pb"], "fractional_positions": [[0.661, 0.322, 0.000], [0.934, 0.869, 0.500], [0.649, 0.297, 0.330], [0.649, 0.297, 0.670], [0.387, 0.774, 0.172], [0.387, 0.774, 0.828]]}


[11]
{"formula": "Zr3TePb", "functional": "PBE-GGA", "state": "optimized geometry", "dos_at_fermi_per_ev_atom": 1.064, "formation_energy_uncorrected_ev_per_atom": 0.4908, "lattice_angstrom": [[5.294, 0.000, 0.000], [0.000, 5.294, 0.000], [0.000, 0.000, 5.294]], "species": ["Pb", "Te", "Zr", "Zr", "Zr"], "fractional_positions": [[0.500, 0.500, 0.500], [0.000, 0.000, 0.000], [0.000, 0.500, 0.000], [0.000, 0.000, 0.500], [0.500, 0.000, 0.000]]}


[12]
{"formula": "Zr4TePb", "functional": "PBE-GGA", "state": "optimized geometry", "dos_at_fermi_per_ev_atom": 0.728, "formation_energy_uncorrected_ev_per_atom": 0.0757, "lattice_angstrom": [[-4.913, -3.100, -1.006], [-3.406, -1.673, 4.512], [-5.279, 2.502, 0.795]], "species": ["Zr", "Zr", "Zr", "Zr", "Te", "Pb"], "fractional_positions": [[0.376, 0.873, 0.376], [0.873, 0.376, 0.376], [0.376, 0.376, 0.873], [0.376, 0.376, 0.376], [0.000, 0.000, 0.000], [0.750, 0.750, 0.750]]}


[13]
{"formula": "ZrTePb2", "functional": "PBE-GGA", "state": "optimized geometry", "dos_at_fermi_per_ev_atom": 0.782, "formation_energy_uncorrected_ev_per_atom": -0.0200, "lattice_angstrom": [[3.624, 0.000, 0.000], [0.000, 5.252, 0.000], [0.000, 0.000, 5.712]], "species": ["Pb", "Pb", "Te", "Zr"], "fractional_positions": [[0.000, 0.000, 0.000], [0.500, 0.500, 0.000], [0.500, 0.000, 0.500], [0.000, 0.500, 0.500]]}


[14]
{"formula": "Zr3TePb", "functional": "PBE-GGA", "state": "optimized geometry", "dos_at_fermi_per_ev_atom": 0.838, "formation_energy_uncorrected_ev_per_atom": -0.3682, "lattice_angstrom": [[-1.144, 1.283, -3.719], [-8.993, 0.410, 0.651], [-2.400, 6.204, 2.881]], "species": ["Zr", "Zr", "Zr", "Zr", "Zr", "Zr", "Te", "Te", "Pb", "Pb"], "fractional_positions": [[0.907, 0.305, 0.776], [0.092, 0.934, 0.571], [0.705, 0.712, 0.009], [0.513, 0.095, 0.146], [0.720, 0.682, 0.519], [0.327, 0.468, 0.390], [0.142, 0.836, 0.207], [0.521, 0.077, 0.748], [0.295, 0.532, 0.856], [0.911, 0.300, 0.244]]}


[15]
{"formula": "ZrTePb2", "functional": "PBE-GGA", "state": "optimized geometry", "dos_at_fermi_per_ev_atom": 0.590, "formation_energy_uncorrected_ev_per_atom": -0.1405, "lattice_angstrom": [[-6.129, 1.104, 0.454], [-5.723, -1.377, -2.082], [-2.067, -3.823, 3.409]], "species": ["Pb", "Pb", "Te", "Zr"], "fractional_positions": [[0.969, 0.969, 0.077], [0.764, 0.764, 0.704], [0.543, 0.543, 0.506], [0.224, 0.224, 0.213]]}